Material: MnSnN2F
Method: DFT, PBE+U
State: relaxed

Output
M_tot = 2.06 Bohr magnetons per cell
E above lowest polymorph = 0 meV/atom
calculated volume = 12.79 A^3/atom

a = 3.957 Å, b = 3.957 Å, c = 4.083 Å
α = 90.00°, β = 90.00°, γ = 90.00°
Space group P4/mmm (No. 123)
Inequivalent atoms, fractional coordinates:
1 Mn 0.000 0.000 0.000
2 Sn 0.500 0.500 0.500
3 N 0.000 0.500 0.000
4 F 0.000 0.000 0.500